# 1
5
Lattice="3.769 0.000 0.000 0.000 3.769 0.000 0.000 0.000 4.097" Properties=species:S:1:pos:R:3 comment="KNiN2O, single point on PBEsol structure, DFT SCAN" density_g_cm3=4.05 raw_formation_energy_ev_per_atom=0.49 n_ef_per_ev_atom=0.573 spacegroup="P4/mmm, No. 123" pbc="T T T"
K 0.000 0.000 0.000
Ni 1.884 1.884 2.048
N 0.000 1.884 2.048
N 1.884 0.000 2.048
O 1.884 1.884 0.000

=====

# 2
16
Lattice="7.739 0.000 0.000 0.000 7.739 0.000 0.000 0.000 7.739" Properties=species:S:1:pos:R:3 comment="K2CoAu, single point on PBEsol structure, DFT SCAN" relative_energy_mev_per_atom=155.9 density_g_cm3=4.79 n_ef_per_ev_atom=1.377 spacegroup="Fm-3m, No. 225" ef_kj_per_mol_fu=134 pbc="T T T"
K 1.935 1.935 1.935
K 1.935 1.935 5.804
K 1.935 5.804 1.935
K 1.935 5.804 5.804
K 5.804 1.935 1.935
K 5.804 1.935 5.804
K 5.804 5.804 1.935
K 5.804 5.804 5.804
Co 0.000 0.000 0.000
Co 0.000 3.870 3.870
Co 3.870 0.000 3.870
Co 3.870 3.870 0.000
Au 0.000 0.000 3.870
Au 0.000 3.870 0.000
Au 3.870 0.000 0.000
Au 3.870 3.870 3.870

=====

# 3
5
Lattice="4.153 0.000 0.000 0.000 4.153 0.000 0.000 0.000 4.294" Properties=species:S:1:pos:R:3 comment="TlGaOs2O, single point on PBEsol structure, DFT SCAN" density_g_cm3=15.03 raw_formation_energy_ev_per_atom=0.89 n_ef_per_ev_atom=0.607 spacegroup="P4/mmm, No. 123" pbc="T T T"
Tl 0.000 0.000 0.000
Ga 2.077 2.077 0.000
Os 0.000 2.077 2.147
Os 2.077 0.000 2.147
O 2.077 2.077 2.147

=====

# 4
8
Lattice="4.906 0.000 0.000 0.000 7.458 0.000 0.000 0.000 2.503" Properties=species:S:1:pos:R:3 comment="MnBeZn2, single point on PBEsol structure, DFT SCAN" density_g_cm3=7.06 n_ef_per_ev_atom=0.525 spacegroup="Cmmm, No. 65" ef_kj_per_mol_fu=21 pbc="T T T"
Mn 0.000 0.000 0.000
Mn 2.453 3.729 0.000
Be 0.000 3.729 0.000
Be 2.453 0.000 0.000
Zn 1.226 1.864 1.252
Zn 1.226 5.593 1.252
Zn 3.679 1.864 1.252
Zn 3.679 5.593 1.252

=====

no.,total magnetic moment (Bohr magnetons per cell)
1,4.297
2,7.917
3,0.000
4,5.674